A plane-wave DFT calculation with PBE was carried out for Cu6Pd5Au after structural relaxation.

abc: 7.430 4.287 6.767
angles: 71.88 79.67 54.71
Element x y z (fractional)
Pd1 0.000 0.666 0.667
Pd2 0.500 0.500 0.000
Pd3 0.500 0.833 0.333
Pd4 0.500 0.167 0.667
Pd5 0.000 0.334 0.333
Cu1 0.253 0.579 0.337
Cu2 0.748 0.084 0.337
Cu3 0.255 0.245 0.000
Cu4 0.747 0.421 0.663
Cu5 0.745 0.755 0.000
Cu6 0.252 0.916 0.663
Au1 0.000 0.000 0.000

Energy relative to the elements: -0.13 eV per atom

A plane-wave DFT calculation with PBE was carried out for As2RhSe after structural relaxation.

abc: 2.944 2.944 8.819
angles: 90.00 90.00 90.00
Element x y z (fractional)
As1 0.000 0.000 0.436
As2 0.000 0.000 0.064
Se1 0.500 0.500 0.750
Rh1 0.500 0.500 0.250

ΔE_f (raw): 0.013 eV per atom

A plane-wave DFT calculation with PBE was carried out for CrCd2Ni after structural relaxation.

abc: 3.300 3.300 6.207
angles: 90.00 90.00 90.00
Element x y z (fractional)
Ni1 0.500 0.500 0.750
Cd1 0.000 0.000 0.983
Cd2 0.000 0.000 0.517
Cr1 0.500 0.500 0.250

Distance to the lowest polymorph of the same formula: 0.071 eV per atom
Energy relative to the elements: 0.28 eV per atom

A plane-wave DFT calculation with PBE was carried out for HgTeC2 after structural relaxation.

abc: 4.433 4.433 4.433
angles: 60.00 60.00 60.00
Element x y z (fractional)
Te1 0.000 0.000 0.000
C1 0.750 0.750 0.750
C2 0.250 0.250 0.250
Hg1 0.500 0.500 0.500

Distance to the lowest polymorph of the same formula: 0.906 eV per atom
ΔE_f (raw): 2.573 eV per atom